VASP calculation (PBE+U) on a relaxed CuMo3F crystal.

Its offset from the most stable computed form is 166 meV per atom.

The structure belongs to space group Pm-3m (No. 221); the cell edges are 5.0834, 5.0834 and 5.0834 Å and the angles 90.00°, 90.00° and 90.00°. The distinct sites, in fractional coordinates, are Cu at (0.0000, 0.0000, 0.0000), Mo at (0.0000, 0.0000, 0.5000) and F at (0.5000, 0.5000, 0.5000).